a | The following is a DFT calculation (PBE) of a relaxed structure of NdBe2Pt2.

## Properties
DOS at the Fermi energy = 0.561 states/eV per atom

Unit cell a=4.066 b=4.066 c=9.721 alpha=90.00 beta=90.00 gamma=90.00
Fractional positions:
Pt 0.000 0.000 0.500
Pt 0.500 0.500 0.500
Pt 0.000 0.500 0.123
Pt 0.500 0.000 0.877
Be 0.000 0.000 0.000
Be 0.500 0.500 0.000
Be 0.000 0.500 0.378
Be 0.500 0.000 0.622
Nd 0.000 0.500 0.751
Nd 0.500 0.000 0.249



b | The following is a DFT calculation (PBE) of a relaxed structure of NdBe2Pt2.

## Properties
DOS at the Fermi energy = 0.532 states/eV per atom

Unit cell a=4.108 b=4.108 c=9.838 alpha=90.00 beta=90.00 gamma=97.25
Fractional positions:
Pt 0.250 0.250 0.108
Pt 0.750 0.750 0.892
Pt 0.250 0.250 0.392
Pt 0.750 0.750 0.608
Be 0.250 0.750 0.500
Be 0.250 0.750 0.000
Be 0.750 0.250 0.500
Be 0.750 0.250 0.000
Nd 0.250 0.250 0.750
Nd 0.750 0.750 0.250



Tell me which of them is the least stable. Sure, it is b.



a | The following is a DFT calculation (PBE) of a relaxed structure of NdBeRh.

## Properties
DOS at the Fermi energy = 0.644 states/eV per atom

Unit cell a=7.459 b=5.696 c=5.717 alpha=90.00 beta=112.99 gamma=90.00
Fractional positions:
Nd 0.876 0.636 0.197
Nd 0.624 0.136 0.803
Nd 0.124 0.364 0.803
Nd 0.376 0.864 0.197
Rh 0.212 0.901 0.615
Rh 0.712 0.599 0.615
Rh 0.288 0.401 0.385
Rh 0.788 0.099 0.385
Be 0.459 0.637 0.737
Be 0.541 0.363 0.263
Be 0.959 0.863 0.737
Be 0.041 0.137 0.263



b | The following is a DFT calculation (PBE) of a relaxed structure of NdBeRh.

## Properties
DOS at the Fermi energy = 0.372 states/eV per atom

Unit cell a=4.193 b=3.959 c=3.959 alpha=120.00 beta=90.00 gamma=90.00
Fractional positions:
Be 0.167 0.667 0.333
Nd 0.667 0.333 0.667
Rh 0.167 0.000 0.000



c | The following is a DFT calculation (PBE) of a relaxed structure of NdBeRh.

## Properties
DOS at the Fermi energy = 0.500 states/eV per atom

Unit cell a=6.456 b=6.456 c=5.909 alpha=90.00 beta=90.00 gamma=90.00
Fractional positions:
Nd 0.774 0.774 0.000
Nd 0.726 0.274 0.250
Nd 0.226 0.226 0.500
Nd 0.274 0.726 0.750
Be 0.397 0.603 0.250
Be 0.603 0.397 0.750
Be 0.103 0.103 0.000
Be 0.897 0.897 0.500
Rh 0.349 0.349 0.000
Rh 0.151 0.849 0.250
Rh 0.651 0.651 0.500
Rh 0.849 0.151 0.750



d | The following is a DFT calculation (PBE) of a relaxed structure of NdBeRh.

## Properties
DOS at the Fermi energy = 0.648 states/eV per atom

Unit cell a=3.982 b=3.982 c=8.303 alpha=90.00 beta=90.00 gamma=120.01
Fractional positions:
Nd 0.000 0.500 0.000
Nd 0.000 0.500 0.500
Be 0.667 0.833 0.250
Be 0.333 0.167 0.750
Rh 0.667 0.833 0.750
Rh 0.333 0.167 0.250



Tell me which of them is the least stable. Sure, it is c.



a | The following is a DFT calculation (PBE) of a relaxed structure of NdBeRu.

## Properties
DOS at the Fermi energy = 0.531 states/eV per atom

Unit cell a=3.880 b=3.880 c=5.056 alpha=67.43 beta=67.43 gamma=60.00
Fractional positions:
Ru 0.082 0.082 0.753
Be 0.395 0.395 0.816
Nd 0.597 0.597 0.210



b | The following is a DFT calculation (PBE) of a relaxed structure of NdBeRu.

## Properties
DOS at the Fermi energy = 0.737 states/eV per atom

Unit cell a=4.084 b=3.992 c=3.992 alpha=120.00 beta=90.00 gamma=90.00
Fractional positions:
Ru 0.167 0.667 0.333
Nd 0.667 0.333 0.667
Be 0.167 0.000 0.000



Tell me which of them is the least stable. Sure, it is a.



a | The following is a DFT calculation (PBE) of a relaxed structure of Nd3Be2Si4.

## Properties
DOS at the Fermi energy = 0.388 states/eV per atom

Unit cell a=3.958 b=5.837 c=8.068 alpha=96.23 beta=90.00 gamma=109.82
Fractional positions:
Si 0.716 0.432 0.064
Si 0.284 0.568 0.936
Si 0.061 0.121 0.384
Si 0.939 0.879 0.616
Be 0.609 0.218 0.281
Be 0.391 0.782 0.719
Nd 0.000 0.000 0.000
Nd 0.665 0.330 0.667
Nd 0.335 0.670 0.333



b | The following is a DFT calculation (PBE) of a relaxed structure of Nd3Be2Si4.

## Properties
DOS at the Fermi energy = 0.388 states/eV per atom

Unit cell a=4.000 b=5.856 c=8.371 alpha=108.55 beta=90.00 gamma=109.97
Fractional positions:
Si 0.125 0.250 0.403
Si 0.276 0.553 0.937
Si 0.724 0.447 0.063
Si 0.875 0.750 0.597
Be 0.320 0.639 0.681
Be 0.680 0.361 0.319
Nd 0.615 0.230 0.685
Nd 0.000 0.000 0.000
Nd 0.385 0.770 0.315



Tell me which of them is the least stable. Sure, it is b.



a | The following is a DFT calculation (PBE) of a relaxed structure of Nd2BeSi3.

## Properties
DOS at the Fermi energy = 0.200 states/eV per atom

Unit cell a=5.828 b=5.828 c=7.962 alpha=109.98 beta=109.98 gamma=93.80
Fractional positions:
Si 0.828 0.828 0.655
Si 0.653 0.653 0.828
Si 0.172 0.172 0.345
Si 0.175 0.175 0.828
Si 0.347 0.347 0.172
Si 0.825 0.825 0.172
Nd 0.246 0.754 0.000
Nd 0.250 0.750 0.500
Nd 0.754 0.246 0.000
Nd 0.750 0.250 0.500
Be 0.334 0.334 0.667
Be 0.666 0.666 0.333



b | The following is a DFT calculation (PBE) of a relaxed structure of Nd2BeSi3.

## Properties
DOS at the Fermi energy = 0.249 states/eV per atom

Unit cell a=4.283 b=3.998 c=6.852 alpha=90.00 beta=90.00 gamma=90.00
Fractional positions:
Nd 0.000 0.500 0.000
Nd 0.000 0.000 0.501
Si 0.500 0.000 0.181
Si 0.500 0.500 0.653
Si 0.500 0.000 0.837
Be 0.500 0.500 0.328



Tell me which of them is the least stable. Sure, it is b.



a | The following is a DFT calculation (PBE) of a relaxed structure of Tb2NdBe.

## Properties
DOS at the Fermi energy = 1.080 states/eV per atom

Unit cell a=3.495 b=3.495 c=8.742 alpha=90.00 beta=90.00 gamma=90.00
Fractional positions:
Be 0.500 0.500 0.000
Nd 0.500 0.500 0.500
Tb 0.000 0.000 0.189
Tb 0.000 0.000 0.811



b | The following is a DFT calculation (PBE) of a relaxed structure of Tb2NdBe.

## Properties
DOS at the Fermi energy = 1.245 states/eV per atom

Unit cell a=3.489 b=3.489 c=11.672 alpha=81.40 beta=81.40 gamma=60.00
Fractional positions:
Tb 0.916 0.916 0.251
Tb 0.084 0.084 0.749
Nd 0.500 0.500 0.500
Be 0.000 0.000 0.000



Tell me which of them is the least stable. Sure, it is b.



a | The following is a DFT calculation (PBE) of a relaxed structure of Nd2ThBe.

## Properties
DOS at the Fermi energy = 1.203 states/eV per atom

Unit cell a=3.542 b=3.542 c=11.741 alpha=81.32 beta=81.32 gamma=60.00
Fractional positions:
Nd 0.915 0.915 0.254
Nd 0.085 0.085 0.746
Th 0.500 0.500 0.500
Be 0.000 0.000 0.000



b | The following is a DFT calculation (PBE) of a relaxed structure of Nd2ThBe.

## Properties
DOS at the Fermi energy = 1.663 states/eV per atom

Unit cell a=3.559 b=3.559 c=8.690 alpha=90.00 beta=90.00 gamma=90.00
Fractional positions:
Be 0.500 0.500 0.000
Nd 0.000 0.000 0.202
Nd 0.000 0.000 0.798
Th 0.500 0.500 0.500



Tell me which of them is the least stable. Sure, it is a.



a | The following is a DFT calculation (PBE) of a relaxed structure of Nd2TmBe.

## Properties
DOS at the Fermi energy = 1.059 states/eV per atom

Unit cell a=3.469 b=3.469 c=11.782 alpha=81.53 beta=81.53 gamma=60.00
Fractional positions:
Nd 0.085 0.085 0.746
Nd 0.915 0.915 0.254
Tm 0.500 0.500 0.500
Be 0.000 0.000 0.000



b | The following is a DFT calculation (PBE) of a relaxed structure of Nd2TmBe.

## Properties
DOS at the Fermi energy = 1.153 states/eV per atom

Unit cell a=3.580 b=3.580 c=8.559 alpha=90.00 beta=90.00 gamma=90.00
Fractional positions:
Tm 0.500 0.500 0.500
Nd 0.000 0.000 0.200
Nd 0.000 0.000 0.800
Be 0.500 0.500 0.000



Tell me which of them is the least stable. Sure, it is a.